Record 1
DFT (PBE) results for a geometry-optimized Na2HfSiO5 structure.

Lattice parameters (Å, degrees): 13.716 5.422 13.582 90.00 119.13 90.00
Positions (direct):
Na  0.076  0.236  0.143
Na  0.076  0.264  0.643
Na  0.181  0.737  0.825
Na  0.181  0.763  0.325
Na  0.318  0.236  0.153
Na  0.318  0.264  0.653
Na  0.416  0.734  0.068
Na  0.416  0.766  0.568
Na  0.584  0.234  0.432
Na  0.584  0.266  0.932
Na  0.682  0.736  0.347
Na  0.682  0.764  0.847
Na  0.819  0.237  0.675
Na  0.819  0.263  0.175
Na  0.924  0.736  0.357
Na  0.924  0.764  0.857
Hf  0.067  0.236  0.871
Hf  0.067  0.264  0.371
Hf  0.438  0.738  0.810
Hf  0.438  0.762  0.310
Hf  0.562  0.238  0.690
Hf  0.562  0.262  0.190
Hf  0.933  0.736  0.629
Hf  0.933  0.764  0.129
Si  0.160  0.722  0.066
Si  0.160  0.778  0.566
Si  0.341  0.221  0.909
Si  0.341  0.279  0.409
Si  0.659  0.721  0.591
Si  0.659  0.779  0.091
Si  0.840  0.222  0.434
Si  0.840  0.278  0.934
O  0.002  0.528  0.771
O  0.002  0.972  0.271
O  0.084  0.699  0.625
O  0.084  0.801  0.125
O  0.129  0.598  0.459
O  0.129  0.902  0.959
O  0.138  0.071  0.529
O  0.138  0.429  0.029
O  0.207  0.221  0.353
O  0.207  0.279  0.853
O  0.293  0.743  0.655
O  0.293  0.757  0.155
O  0.360  0.573  0.391
O  0.360  0.927  0.891
O  0.389  0.099  0.347
O  0.389  0.401  0.847
O  0.406  0.216  0.544
O  0.406  0.284  0.044
O  0.491  0.037  0.765
O  0.491  0.463  0.265
O  0.509  0.537  0.735
O  0.509  0.963  0.235
O  0.594  0.716  0.956
O  0.594  0.784  0.456
O  0.611  0.599  0.153
O  0.611  0.901  0.653
O  0.640  0.073  0.109
O  0.640  0.427  0.609
O  0.707  0.243  0.845
O  0.707  0.257  0.345
O  0.793  0.721  0.147
O  0.793  0.779  0.647
O  0.862  0.571  0.971
O  0.862  0.929  0.471
O  0.871  0.098  0.041
O  0.871  0.402  0.541
O  0.916  0.199  0.875
O  0.916  0.301  0.375
O  0.998  0.028  0.729
O  0.998  0.472  0.229

- Density: 5.01 g/cm³

Record 2
DFT (PBE) results for a geometry-optimized Na2HfSi2O7 structure.

Lattice parameters (Å, degrees): 5.396 6.544 8.742 71.64 87.06 85.65
Positions (direct):
Na  0.235  0.346  0.000
Na  0.260  0.125  0.402
Na  0.740  0.875  0.598
Na  0.765  0.654  0.000
Hf  0.218  0.708  0.227
Hf  0.782  0.292  0.773
Si  0.224  0.646  0.646
Si  0.320  0.941  0.835
Si  0.680  0.059  0.165
Si  0.776  0.354  0.354
O  0.027  0.430  0.243
O  0.118  0.132  0.840
O  0.156  0.711  0.458
O  0.284  0.888  0.662
O  0.293  0.719  0.985
O  0.392  0.994  0.178
O  0.468  0.490  0.707
O  0.532  0.510  0.293
O  0.608  0.006  0.822
O  0.707  0.281  0.015
O  0.716  0.112  0.338
O  0.844  0.289  0.542
O  0.882  0.868  0.160
O  0.973  0.570  0.757

- Density: 4.47 g/cm³

Record 3
DFT (PBE) results for a geometry-optimized NaHfPa structure.

Lattice parameters (Å, degrees): 4.986 4.986 4.986 60.00 60.00 60.00
Positions (direct):
Na  0.000  0.000  0.000
Hf  0.500  0.500  0.500
Pa  0.750  0.750  0.750

- Density: 8.19 g/cm³

Record 4
DFT (PBE) results for a geometry-optimized NaHf3Pb5 structure.

Lattice parameters (Å, degrees): 6.003 6.003 8.215 90.00 90.00 120.00
Positions (direct):
Na  0.000  0.000  0.000
Hf  0.000  0.500  0.500
Hf  0.500  0.000  0.500
Hf  0.500  0.500  0.500
Pb  0.000  0.000  0.500
Pb  0.333  0.667  0.187
Pb  0.333  0.667  0.813
Pb  0.667  0.333  0.187
Pb  0.667  0.333  0.813

- Density: 10.33 g/cm³

Record 5
DFT (PBE) results for a geometry-optimized NaHfPd structure.

Lattice parameters (Å, degrees): 4.545 4.545 4.545 60.00 60.00 60.00
Positions (direct):
Na  0.000  0.000  0.000
Hf  0.500  0.500  0.500
Pd  0.750  0.750  0.750

- Density: 7.70 g/cm³

Record 6
DFT (PBE) results for a geometry-optimized NaHfPdSe3 structure.

Lattice parameters (Å, degrees): 7.312 7.312 10.072 90.00 90.00 150.39
Positions (direct):
Na  0.237  0.763  0.750
Na  0.763  0.237  0.250
Hf  0.000  0.000  0.000
Hf  0.000  0.000  0.500
Pd  0.469  0.531  0.250
Pd  0.531  0.469  0.750
Se  0.087  0.913  0.250
Se  0.365  0.635  0.046
Se  0.365  0.635  0.454
Se  0.635  0.365  0.546
Se  0.635  0.365  0.954
Se  0.913  0.087  0.750

- Density: 6.80 g/cm³

Number 1: uncorrected energy -7.523 eV per atom. Number 2: uncorrected energy -7.644 eV per atom. Number 3: uncorrected energy -5.210 eV per atom. Number 4: uncorrected energy -5.412 eV per atom. Number 5: uncorrected energy -5.276 eV per atom. Number 6: uncorrected energy -5.475 eV per atom.